(1)
A plane-wave DFT calculation with PBE was carried out for a relaxed Er3TlHg crystal.

Cell and atoms, written as CIF:
```
data_Er3TlHg
_space_group_name_H-M_alt 'C m c m'
_space_group_IT_number 63
_space_group_name_Hall '-C 2c 2'
_cell_length_a 5.0980
_cell_length_b 20.9190
_cell_length_c 5.0993
_cell_angle_alpha 90.00
_cell_angle_beta 90.00
_cell_angle_gamma 90.00
loop_
_atom_site_label
_atom_site_fract_x
_atom_site_fract_y
_atom_site_fract_z
_atom_site_occupancy
Er1 0.0000 0.0584 0.2500 1
Er2 0.0000 0.2502 0.2500 1
Er3 0.0000 0.4415 0.2500 1
Tl1 0.0000 0.3444 0.7500 1
Hg1 0.0000 0.1531 0.7500 1
```

formation energy from the elements	-305	meV/atom
total DFT energy (no corrections)	-3.58	eV per atom
magnetic moment	1.56	Bohr magnetons per cell
excess energy over the best structure of this formula in the dataset	0	meV per atom

(2)
A plane-wave DFT calculation with PBE was carried out for a relaxed Er2TmTl2Hg2 crystal.

Cell and atoms, written as CIF:
```
data_Er2TmTl2Hg2
_space_group_name_H-M_alt 'R -3 m'
_space_group_IT_number 166
_space_group_name_Hall '-R 3 2"'
_cell_length_a 4.9795
_cell_length_b 4.9795
_cell_length_c 26.1896
_cell_angle_alpha 90.00
_cell_angle_beta 90.00
_cell_angle_gamma 120.00
loop_
_atom_site_label
_atom_site_fract_x
_atom_site_fract_y
_atom_site_fract_z
_atom_site_occupancy
Er1 0.0000 0.0000 0.1321 1
Tm1 0.0000 0.0000 0.0000 1
Tl1 0.0000 0.0000 0.2743 1
Hg1 0.0000 0.0000 0.4358 1
```

formation energy from the elements	-143	meV/atom
total DFT energy (no corrections)	-2.85	eV per atom
magnetic moment	0.00	Bohr magnetons per cell

(3)
A plane-wave DFT calculation with PBE was carried out for a relaxed ErTmTlHg crystal.

Cell and atoms, written as CIF:
```
data_ErTmTlHg
_space_group_name_H-M_alt 'F -4 3 m'
_space_group_IT_number 216
_space_group_name_Hall 'F -4 2 3'
_cell_length_a 7.4519
_cell_length_b 7.4519
_cell_length_c 7.4519
_cell_angle_alpha 90.00
_cell_angle_beta 90.00
_cell_angle_gamma 90.00
loop_
_atom_site_label
_atom_site_fract_x
_atom_site_fract_y
_atom_site_fract_z
_atom_site_occupancy
Er1 0.0000 0.0000 0.0000 1
Tm1 0.0000 0.0000 0.5000 1
Tl1 0.2500 0.2500 0.7500 1
Hg1 0.2500 0.2500 0.2500 1
```

formation energy from the elements	-385	meV/atom
total DFT energy (no corrections)	-3.31	eV per atom
magnetic moment	0.01	Bohr magnetons per cell
excess energy over the best structure of this formula in the dataset	7	meV per atom

(4)
A plane-wave DFT calculation with PBE was carried out for a relaxed ErTmTlHg crystal.

Cell and atoms, written as CIF:
```
data_ErTmTlHg
_space_group_name_H-M_alt 'P 4 m m'
_space_group_IT_number 99
_space_group_name_Hall 'P 4 -2'
_cell_length_a 3.7285
_cell_length_b 3.7285
_cell_length_c 7.4377
_cell_angle_alpha 90.00
_cell_angle_beta 90.00
_cell_angle_gamma 90.00
loop_
_atom_site_label
_atom_site_fract_x
_atom_site_fract_y
_atom_site_fract_z
_atom_site_occupancy
Er1 0.0000 0.0000 0.0000 1
Tm1 0.0000 0.0000 0.4817 1
Tl1 0.5000 0.5000 0.7396 1
Hg1 0.5000 0.5000 0.2432 1
```

formation energy from the elements	-391	meV/atom
total DFT energy (no corrections)	-3.32	eV per atom
magnetic moment	0.00	Bohr magnetons per cell
excess energy over the best structure of this formula in the dataset	0	meV per atom

(5)
A plane-wave DFT calculation with PBE was carried out for a relaxed ErTm2Hg9 crystal.

Cell and atoms, written as CIF:
```
data_ErTm2Hg9
_space_group_name_H-M_alt 'P 4/m m m'
_space_group_IT_number 123
_space_group_name_Hall '-P 4 2'
_cell_length_a 4.4719
_cell_length_b 4.4719
_cell_length_c 14.4064
_cell_angle_alpha 90.00
_cell_angle_beta 90.00
_cell_angle_gamma 90.00
loop_
_atom_site_label
_atom_site_fract_x
_atom_site_fract_y
_atom_site_fract_z
_atom_site_occupancy
Er1 0.0000 0.0000 0.0000 1
Tm1 0.0000 0.0000 0.3337 1
Hg1 0.0000 0.5000 0.1671 1
Hg2 0.0000 0.5000 0.5000 1
Hg3 0.5000 0.5000 0.0000 1
Hg4 0.5000 0.5000 0.3334 1
```

formation energy from the elements	-285	meV/atom
total DFT energy (no corrections)	-1.64	eV per atom
magnetic moment	0.00	Bohr magnetons per cell

(6)
A plane-wave DFT calculation with PBE was carried out for a relaxed Er2TmHg4 crystal.

Cell and atoms, written as CIF:
```
data_Er2TmHg4
_space_group_name_H-M_alt 'R -3 m'
_space_group_IT_number 166
_space_group_name_Hall '-R 3 2"'
_cell_length_a 5.0485
_cell_length_b 5.0485
_cell_length_c 25.7507
_cell_angle_alpha 90.00
_cell_angle_beta 90.00
_cell_angle_gamma 120.00
loop_
_atom_site_label
_atom_site_fract_x
_atom_site_fract_y
_atom_site_fract_z
_atom_site_occupancy
Er1 0.0000 0.0000 0.2452 1
Tm1 0.0000 0.0000 0.0000 1
Hg1 0.0000 0.0000 0.1268 1
Hg2 0.0000 0.0000 0.3748 1
```

formation energy from the elements	-333	meV/atom
total DFT energy (no corrections)	-2.45	eV per atom
magnetic moment	0.00	Bohr magnetons per cell
excess energy over the best structure of this formula in the dataset	0	meV per atom

(7)
A plane-wave DFT calculation with PBE was carried out for a relaxed ErTmHg4 crystal.

Cell and atoms, written as CIF:
```
data_ErTmHg4
_space_group_name_H-M_alt 'C 1 2/m 1'
_space_group_IT_number 12
_space_group_name_Hall '-C 2y'
_cell_length_a 11.8985
_cell_length_b 3.5690
_cell_length_c 7.2069
_cell_angle_alpha 90.00
_cell_angle_beta 107.69
_cell_angle_gamma 90.00
loop_
_atom_site_label
_atom_site_fract_x
_atom_site_fract_y
_atom_site_fract_z
_atom_site_occupancy
Er1 0.0000 0.0000 0.0000 1
Tm1 0.0000 0.0000 0.5000 1
Hg1 0.1656 0.5000 0.3343 1
Hg2 0.1661 0.5000 0.8323 1
```

formation energy from the elements	-328	meV/atom
total DFT energy (no corrections)	-2.03	eV per atom
magnetic moment	0.00	Bohr magnetons per cell
excess energy over the best structure of this formula in the dataset	44	meV per atom

(8)
A plane-wave DFT calculation with PBE was carried out for a relaxed Er9Tm4Hg11 crystal.

Cell and atoms, written as CIF:
```
data_Er9Tm4Hg11
_space_group_name_H-M_alt 'C m m m'
_space_group_IT_number 65
_space_group_name_Hall '-C 2 2'
_cell_length_a 15.6722
_cell_length_b 22.1533
_cell_length_c 3.5289
_cell_angle_alpha 90.00
_cell_angle_beta 90.00
_cell_angle_gamma 90.00
loop_
_atom_site_label
_atom_site_fract_x
_atom_site_fract_y
_atom_site_fract_z
_atom_site_occupancy
Er1 0.0000 0.0000 0.0000 1
Er2 0.1140 0.4103 0.0000 1
Er3 0.1149 0.2365 0.0000 1
Tm1 0.1625 0.0856 0.0000 1
Hg1 0.0000 0.1285 0.5000 1
Hg2 0.0000 0.3228 0.5000 1
Hg3 0.0000 0.5000 0.5000 1
Hg4 0.2249 0.5000 0.5000 1
Hg5 0.2345 0.3220 0.5000 1
```

formation energy from the elements	-364	meV/atom
total DFT energy (no corrections)	-2.96	eV per atom
magnetic moment	2.50	Bohr magnetons per cell

Question: Look up the total DFT energy (no corrections) of the third one.
Answer: -3.31 eV per atom

Question: The highest formation energy from the elements belongs to which entry?
Answer: Er2TmTl2Hg2

What did the third record say?
A plane-wave DFT calculation with PBE was carried out for a relaxed ErTmTlHg crystal.

Cell and atoms, written as CIF:
```
data_ErTmTlHg
_space_group_name_H-M_alt 'F -4 3 m'
_space_group_IT_number 216
_space_group_name_Hall 'F -4 2 3'
_cell_length_a 7.4519
_cell_length_b 7.4519
_cell_length_c 7.4519
_cell_angle_alpha 90.00
_cell_angle_beta 90.00
_cell_angle_gamma 90.00
loop_
_atom_site_label
_atom_site_fract_x
_atom_site_fract_y
_atom_site_fract_z
_atom_site_occupancy
Er1 0.0000 0.0000 0.0000 1
Tm1 0.0000 0.0000 0.5000 1
Tl1 0.2500 0.2500 0.7500 1
Hg1 0.2500 0.2500 0.2500 1
```

formation energy from the elements	-385	meV/atom
total DFT energy (no corrections)	-3.31	eV per atom
magnetic moment	0.01	Bohr magnetons per cell
excess energy over the best structure of this formula in the dataset	7	meV per atom